# Hf4Zr2In (PBE, optimized geometry)
# SG	Pmna
# magnetization	0.0	Bohr magnetons per cell
# DFT formation energy	0.048	eV per atom
# calculated volume	22.8	Å³/atom
data_Hf4Zr2In
_chemical_formula_sum 'Hf8 Zr4 In2'
_cell_length_a 10.150
_cell_length_b 5.708
_cell_length_c 7.936
_cell_angle_alpha 136.01
_cell_angle_beta 90.00
_cell_angle_gamma 90.00
_space_group_name_H-M_alt 'P 1'
_space_group_IT_number 1
loop_
_space_group_symop_operation_xyz
'x,y,z'
loop_
_atom_site_label
_atom_site_fract_x
_atom_site_fract_y
_atom_site_fract_z
Hf1 0.750 0.797 0.047
Hf2 0.822 0.534 0.534
Hf3 0.678 0.034 0.534
Hf4 0.750 0.297 0.047
Hf5 0.250 0.703 0.953
Hf6 0.322 0.966 0.466
Hf7 0.178 0.466 0.466
Hf8 0.250 0.203 0.953
Zr1 0.023 0.759 0.259
Zr2 0.977 0.241 0.741
Zr3 0.523 0.741 0.741
Zr4 0.477 0.259 0.259
In1 0.000 0.000 0.000
In2 0.500 0.500 0.000



# CeLuH (PBE, optimized geometry)
# SG	Cmcm
# relative energy among the computed polymorphs	0.76	eV per formula unit
# magnetization	1.0	Bohr magnetons per cell
# calculated volume	21.5	Å³/atom
data_CeLuH
_chemical_formula_sum 'Ce2 Lu2 H2'
_cell_length_a 3.463
_cell_length_b 6.368
_cell_length_c 6.670
_cell_angle_alpha 61.49
_cell_angle_beta 90.00
_cell_angle_gamma 90.00
_space_group_name_H-M_alt 'P 1'
_space_group_IT_number 1
loop_
_space_group_symop_operation_xyz
'x,y,z'
loop_
_atom_site_label
_atom_site_fract_x
_atom_site_fract_y
_atom_site_fract_z
H1 0.750 0.699 0.603
H2 0.250 0.301 0.397
Lu1 0.250 0.129 0.741
Lu2 0.750 0.871 0.259
Ce1 0.250 0.591 0.818
Ce2 0.750 0.409 0.182